# ZnSbTe2Cl

An optimized crystal structure of ZnSbTe2Cl (GGA-PBEsol, the Alexandria database).

Geometry as POSCAR:
```
ZnSbTe2Cl
1.0
5.325 0.000 0.000
0.000 5.263 0.000
0.000 0.000 5.263
Sb Zn Te Cl
1 1 2 1
Direct
0.500 0.000 0.000 Sb
0.500 0.500 0.500 Zn
0.000 0.000 0.500 Te
0.000 0.500 0.000 Te
0.000 0.000 0.000 Cl
```

Properties
The value obtained for the theoretical density is 5379 kg/m³. The energy relative to the elements, uncorrected is 4.1 eV/f.u.